Entry 1:
Material: TmAl2Cu9
Method: DFT, PBE
State: optimized geometry

Cell and atoms, written as extended XYZ:
```
24
Lattice="-5.537 3.237 1.430 -5.088 -3.996 4.442 0.289 4.254 6.588" Properties=species:S:1:pos:R:3 pbc="T T T"
Cu -1.598 1.576 3.712
Cu -4.954 0.980 2.876
Cu -8.139 1.569 8.594
Cu 0.000 0.000 0.000
Cu -5.150 -1.291 3.997
Cu -4.263 3.267 7.921
Cu -1.819 2.817 7.594
Cu -6.552 2.556 6.588
Cu -4.521 -0.765 8.501
Cu -3.644 2.991 3.399
Cu -6.490 -0.149 7.033
Cu -4.443 3.993 5.582
Cu -4.970 -2.017 6.336
Cu -6.670 0.577 4.693
Cu -2.908 -0.434 3.189
Cu -3.211 1.245 9.024
Cu -1.999 3.543 5.255
Cu -6.829 3.579 9.117
Al -5.675 1.407 8.809
Al -5.900 5.023 7.303
Al -6.044 2.896 4.009
Al -8.588 0.898 6.230
Tm -2.768 1.618 0.715
Tm -3.783 0.938 5.873
```

Output
- theoretical density (g/cm³) = 7.91
- total magnetization (μB/cell) = 0.0
- ΔE to the lowest computed polymorph (meV/atom) = 0.0
- formation energy from the elements (eV/atom) = -0.187

---

Entry 2:
Material: Tm3Al9Cu2
Method: DFT, PBE
State: optimized geometry

Cell and atoms, written as extended XYZ:
```
14
Lattice="4.084 0.000 1.097 1.630 7.651 2.085 0.016 -0.185 8.093" Properties=species:S:1:pos:R:3 pbc="T T T"
Al 1.870 2.184 1.188
Al 1.490 4.492 2.603
Al 4.278 7.316 8.527
Al 4.239 2.974 8.671
Al 1.451 0.150 2.748
Al 4.947 6.412 6.035
Al 0.782 1.054 5.240
Al 0.823 3.733 5.089
Al 3.859 5.282 10.087
Cu 3.195 5.336 4.408
Cu 2.535 2.130 6.866
Tm 0.000 0.000 0.000
Tm 2.403 5.145 7.355
Tm 3.326 2.320 3.919
```

Output
- theoretical density (g/cm³) = 5.73
- total magnetization (μB/cell) = 0.0
- formation energy from the elements (eV/atom) = -0.397

---

Entry 3:
Material: Tm6AlCu5
Method: DFT, PBE
State: optimized geometry

Cell and atoms, written as extended XYZ:
```
12
Lattice="-3.233 -1.856 3.096 -2.183 -4.397 -4.916 3.307 -5.833 3.749" Properties=species:S:1:pos:R:3 pbc="T T T"
Tm -3.231 -4.180 -2.088
Tm -2.185 -2.073 0.268
Tm -2.115 -4.630 2.600
Tm -3.195 -6.806 0.168
Tm 0.006 -7.456 -0.672
Tm 1.086 -5.280 1.760
Cu -1.091 -2.199 -2.458
Cu -1.052 -7.315 2.100
Cu -0.083 -2.456 2.233
Cu -1.057 -4.771 -0.172
Cu 0.157 -5.233 4.611
Al 0.000 0.000 0.000
```

Output
- theoretical density (g/cm³) = 9.19
- total magnetization (μB/cell) = 0.0
- formation energy from the elements (eV/atom) = -0.298